1.
The following is a DFT calculation (GGA-PBE) of crystalline MgCu2As at its relaxed geometry.

Cell: 6.246 6.246 6.246 Å, 90.00 90.00 90.00°
Element x y z (fractional)
Mg 0.000 0.000 0.000
Mg 0.000 0.000 0.500
Mg 0.000 0.500 0.000
Mg 0.500 0.000 0.000
Cu 0.253 0.253 0.253
Cu 0.253 0.253 0.747
Cu 0.253 0.747 0.253
Cu 0.253 0.747 0.747
Cu 0.747 0.253 0.253
Cu 0.747 0.253 0.747
Cu 0.747 0.747 0.253
Cu 0.747 0.747 0.747
As 0.000 0.500 0.500
As 0.500 0.000 0.500
As 0.500 0.500 0.000
As 0.500 0.500 0.500

Calculated density = 6.2 Mg/m³
SG = No. 221
Total DFT energy (no corrections) = -3.359 eV/atom

=====

2.
The following is a DFT calculation (GGA-PBE) of crystalline MgCu2As at its relaxed geometry.

Cell: 6.246 6.246 6.246 Å, 90.00 90.00 90.00°
Element x y z (fractional)
Mg 0.000 0.000 0.000
Mg 0.000 0.000 0.500
Mg 0.000 0.500 0.000
Mg 0.500 0.000 0.000
Cu 0.253 0.253 0.253
Cu 0.253 0.253 0.747
Cu 0.253 0.747 0.253
Cu 0.253 0.747 0.747
Cu 0.747 0.253 0.253
Cu 0.747 0.253 0.747
Cu 0.747 0.747 0.253
Cu 0.747 0.747 0.747
As 0.000 0.500 0.500
As 0.500 0.000 0.500
As 0.500 0.500 0.000
As 0.500 0.500 0.500

Calculated density = 6.2 Mg/m³
SG = No. 221
Total DFT energy (no corrections) = -3.359 eV/atom

=====

3.
The following is a DFT calculation (GGA-PBE) of crystalline MgCu5As2 at its relaxed geometry.

Cell: 4.193 4.193 6.448 Å, 90.00 90.00 90.00°
Element x y z (fractional)
Mg 0.000 0.000 0.000
Cu 0.000 0.500 0.276
Cu 0.000 0.500 0.724
Cu 0.500 0.000 0.276
Cu 0.500 0.000 0.724
Cu 0.500 0.500 0.500
As 0.000 0.000 0.500
As 0.500 0.500 0.000

Calculated density = 7.2 Mg/m³
SG = No. 123
Total DFT energy (no corrections) = -3.614 eV/atom

=====

4.
The following is a DFT calculation (GGA-PBE) of crystalline MgCuMoAs at its relaxed geometry.

Cell: 4.421 4.421 4.421 Å, 60.00 60.00 60.00°
Element x y z (fractional)
Mg 0.000 0.000 0.000
Cu 0.750 0.750 0.750
Mo 0.250 0.250 0.250
As 0.500 0.500 0.500

Calculated density = 7.0 Mg/m³
SG = No. 216
Size of the total moment = 0.00 μB/f.u.
Total DFT energy (no corrections) = -4.838 eV/atom
Energy above the most stable polymorph in this dataset = 0.00 eV per formula unit